# V6O7F5, relaxed, DFT GGA+U
# - crystal system = triclinic
# - distance to the lowest polymorph of the same formula (meV/atom) = 4
# - size of the total moment (μB per cell) = 11.00
# - DFT total energy (eV per atom) = -7.271
# - calculated density (Mg/m³) = 4.140
data_V6O7F5
_chemical_formula_sum 'V6 O7 F5'
_cell_length_a 4.715
_cell_length_b 5.636
_cell_length_c 7.764
_cell_angle_alpha 86.17
_cell_angle_beta 88.37
_cell_angle_gamma 87.65
_space_group_name_H-M_alt 'P 1'
_space_group_IT_number 1
loop_
_space_group_symop_operation_xyz
'x,y,z'
loop_
_atom_site_label
_atom_site_type_symbol
_atom_site_fract_x
_atom_site_fract_y
_atom_site_fract_z
V1 V 0.000 0.000 0.000
V2 V 0.003 0.668 0.348
V3 V 0.496 0.507 0.012
V4 V 0.531 0.844 0.688
V5 V 0.554 0.194 0.341
V6 V 0.967 0.338 0.679
O1 O 0.307 0.464 0.246
O2 O 0.310 0.803 0.915
O3 O 0.698 0.883 0.441
O4 O 0.705 0.536 0.787
O5 O 0.708 0.208 0.116
O6 O 0.800 0.377 0.443
O7 O 0.811 0.041 0.778
F1 F 0.202 0.639 0.582
F2 F 0.203 0.300 0.903
F3 F 0.204 0.971 0.246
F4 F 0.308 0.149 0.573
F5 F 0.810 0.704 0.114